1.
Dy2YMgN | PBE | optimized geometry

Unit cell a=4.8832 b=4.8718 c=4.8718 alpha=90.00 beta=90.00 gamma=90.00
Atoms (fractional coordinates):
Dy 0.0000 0.0000 0.5000
Dy 0.0000 0.5000 0.0000
Y 0.5000 0.0000 0.0000
Mg 0.5000 0.5000 0.5000
N 0.0000 0.0000 0.0000

Crystal system: tetragonal
Symmetry: P4/mmm, No. 123
Raw formation energy in eV per atom: -0.71

***

2.
LuPaAlGa | PBE | optimized geometry

Unit cell a=5.0188 b=5.0188 c=5.0188 alpha=60.00 beta=60.00 gamma=60.00
Atoms (fractional coordinates):
Pa 0.0000 0.0000 0.0000
Lu 0.5000 0.5000 0.5000
Al 0.7500 0.7500 0.7500
Ga 0.2500 0.2500 0.2500

Crystal system: cubic
Formation enthalpy at 0 K in eV/atom: -0.22
Symmetry: F-43m, No. 216

***

3.
Ce2NdY3Bi6 | PBE | optimized geometry

Unit cell a=7.8803 b=7.8803 c=7.8602 alpha=99.62 beta=99.62 gamma=119.99
Atoms (fractional coordinates):
Ce 0.3330 0.6670 0.0000
Ce 0.6670 0.3330 0.0000
Nd 0.0000 0.0000 0.0000
Y 0.1659 0.8341 0.5000
Y 0.8341 0.1659 0.5000
Y 0.5000 0.5000 0.5000
Bi 0.9143 0.5795 0.7433
Bi 0.7504 0.7504 0.2564
Bi 0.0857 0.4205 0.2567
Bi 0.5795 0.9143 0.7433
Bi 0.2496 0.2496 0.7436
Bi 0.4205 0.0857 0.2567

Crystal system: monoclinic
Formation enthalpy at 0 K in eV/atom: -0.87
Symmetry: C2/m, No. 12

***

Result set for final energy: -5.829; -5.413; -5.817 eV/atom, one per record in the order listed.
Result set for volume: 23.18; 22.35; 33.20 A^3/atom, one per record in the order listed.
Result set for D(E_F): 5.7; 5.4; 13.2 states/eV/cell, one per record in the order listed.